1.
# TbSiB4

An optimized crystal structure of TbSiB4 (PBE, the Open Quantum Materials Database).

The energy above the most stable polymorph in this dataset is 0 meV per atom. Its density is 5.88 g cm⁻³. For the total moment, the calculation gives 0.00 Bohr magnetons per cell.

a = 3.1754 Å, b = 5.0685 Å, c = 8.0780 Å
α = 90.00°, β = 90.00°, γ = 90.00°
With the nearest neighbours (Å) after each atom.
Space group Immm (No. 71)
One atom of each set of equivalent atoms:
Tb  0.0000  0.0000  0.0000  12 B 2.64-2.69
Si  0.0000  0.0000  0.5000  12 B 2.51-2.81
B  0.0000  0.3228  0.2643  3 B 1.77-1.80

2.
# TbSiB4

An optimized crystal structure of TbSiB4 (PBE, the Open Quantum Materials Database).

The energy above the most stable polymorph in this dataset is 91 meV per atom. Its density is 6.23 g cm⁻³. For the total moment, the calculation gives 0.00 Bohr magnetons per cell.

a = 3.0865 Å, b = 3.0865 Å, c = 7.4386 Å
α = 90.00°, β = 90.00°, γ = 120.00°
With the nearest neighbours (Å) after each atom.
Space group P6/mmm (No. 191)
One atom of each set of equivalent atoms:
Tb  0.0000  0.0000  0.0000  12 B 2.74
Si  0.0000  0.0000  0.5000  12 B 2.42
B  0.3333  0.6667  0.2801  3 B 1.78

3.
# SiTcB4

An optimized crystal structure of SiTcB4 (PBE, the Open Quantum Materials Database).

The energy above the most stable polymorph in this dataset is 67 meV per atom. Its density is 5.37 g cm⁻³. For the total moment, the calculation gives 0.02 Bohr magnetons per cell.

a = 2.9925 Å, b = 2.9925 Å, c = 6.7456 Å
α = 90.00°, β = 90.00°, γ = 120.00°
With the nearest neighbours (Å) after each atom.
Space group P6/mmm (No. 191)
One atom of each set of equivalent atoms:
Si  0.0000  0.0000  0.0000  12 B 2.40
Tc  0.0000  0.0000  0.5000  12 B 2.43
B  0.3333  0.6667  0.2471  3 B 1.73

4.
# SiTcB2

An optimized crystal structure of SiTcB2 (PBE, the Open Quantum Materials Database).

Its density is 5.88 g cm⁻³. As for the electronic total energy: -6.141 eV per atom. For the total moment, the calculation gives 0.03 Bohr magnetons per cell.

a = 5.5038 Å, b = 5.5038 Å, c = 5.5038 Å
α = 90.00°, β = 90.00°, γ = 90.00°
With the nearest neighbours (Å) after each atom.
Space group F-43m (No. 216)
One atom of each set of equivalent atoms:
Si  0.0000  0.0000  0.0000  4 Tc 2.38, 4 B 2.38
Tc  0.2500  0.2500  0.2500  4 B 2.38, 4 Si 2.38
B  0.0000  0.0000  0.5000  4 B 2.38, 4 Tc 2.38
B  0.2500  0.2500  0.7500  4 B 2.38, 4 Si 2.38

5.
# SiTcB

An optimized crystal structure of SiTcB (PBE, the Open Quantum Materials Database).

The energy above the most stable polymorph in this dataset is 425 meV per atom. Its density is 5.68 g cm⁻³. For the total moment, the calculation gives 0.00 Bohr magnetons per cell.

a = 5.4287 Å, b = 5.4287 Å, c = 5.4287 Å
α = 90.00°, β = 90.00°, γ = 90.00°
With the nearest neighbours (Å) after each atom.
Space group F-43m (No. 216)
One atom of each set of equivalent atoms:
Si  0.0000  0.0000  0.0000  4 Tc 2.35
Tc  0.2500  0.2500  0.7500  4 B 2.35, 4 Si 2.35
B  0.0000  0.0000  0.5000  4 Tc 2.35

6.
# SiTcB

An optimized crystal structure of SiTcB (PBE, the Open Quantum Materials Database).

The energy above the most stable polymorph in this dataset is 0 meV per atom. Its density is 6.50 g cm⁻³. For the total moment, the calculation gives 0.00 Bohr magnetons per cell.

a = 5.1908 Å, b = 5.1908 Å, c = 5.1908 Å
α = 90.00°, β = 90.00°, γ = 90.00°
With the nearest neighbours (Å) after each atom.
Space group F-43m (No. 216)
One atom of each set of equivalent atoms:
Si  0.0000  0.0000  0.0000  4 B 2.25
Tc  0.0000  0.0000  0.5000  4 B 2.25
B  0.2500  0.2500  0.2500  4 Tc 2.25, 4 Si 2.25